# 1
PBE ZnInAs, optimized geometry; E_tot = -2.910 eV/atom; crystal system = trigonal
1.0
4.095 0.000 0.000
-2.048 3.547 0.000
0.000 0.000 4.727
Zn In As
1 1 1
Cartesian
0.000 0.000 0.000
0.000 2.364 2.709
2.048 1.182 0.812



# 2
PBE ZnIn2As2, optimized geometry; E_tot = -3.079 eV/atom; crystal system = tetragonal
1.0
7.575 0.000 0.000
0.000 7.575 0.000
0.000 0.000 4.010
Zn In As
2 4 4
Cartesian
0.000 0.000 0.000
3.788 3.788 0.000
1.077 2.711 2.005
2.711 6.498 2.005
4.865 1.077 2.005
6.498 4.865 2.005
1.325 5.113 0.000
2.462 1.325 0.000
5.113 6.250 0.000
6.250 2.462 0.000



# 3
PBE ZnInAs, optimized geometry; E_tot = -2.718 eV/atom; crystal system = tetragonal
1.0
-1.634 1.634 5.931
1.634 -1.634 5.931
1.634 1.634 -5.931
Zn In As
1 1 1
Cartesian
0.000 0.000 0.000
0.000 0.000 8.097
0.000 0.000 4.460



| no. | Fermi-level density of states (states/eV per atom) |
| --- | --- |
| 1 | 0.10 |
| 2 | 0.42 |
| 3 | 0.44 |